# 1
First-principles (GGA-PBE) data for a geometry-optimized PaSe structure, as listed in the Alexandria database.

Geometry as POSCAR:
```
PaSe
1.0
2.036 1.176 8.196
-2.036 1.176 8.196
0.000 -2.352 8.196
Pa Se
2 2
Direct
0.134 0.134 0.134 Pa
0.866 0.866 0.866 Pa
0.266 0.266 0.266 Se
0.734 0.734 0.734 Se
```

As for the formation energy without anion corrections: -466 meV per atom. As for the raw total energy: -13.91 eV/f.u. The calculation puts the magnetic moment at 0.0 μB/f.u. For the energy above the most stable polymorph in this dataset, the calculation gives 733 meV per atom.

***

# 2
First-principles (GGA-PBE) data for a geometry-optimized Rb3Na2Hg3 structure, as listed in the Alexandria database.

Geometry as POSCAR:
```
Rb3Na2Hg3
1.0
2.637 -7.269 0.000
2.637 7.269 0.000
0.000 0.000 17.607
Rb Na Hg
6 4 6
Direct
0.066 0.934 0.617 Rb
0.066 0.934 0.883 Rb
0.360 0.640 0.750 Rb
0.640 0.360 0.250 Rb
0.934 0.066 0.117 Rb
0.934 0.066 0.383 Rb
0.224 0.776 0.077 Na
0.224 0.776 0.423 Na
0.776 0.224 0.577 Na
0.776 0.224 0.923 Na
0.329 0.671 0.250 Hg
0.400 0.600 0.533 Hg
0.400 0.600 0.967 Hg
0.600 0.400 0.033 Hg
0.600 0.400 0.467 Hg
0.671 0.329 0.750 Hg
```

As for the raw total energy: -7.92 eV/f.u. The calculation puts the magnetic moment at 0.0 μB/f.u. As for the formation energy: -0.1846 eV per atom.

***

# 3
First-principles (GGA-PBE) data for a geometry-optimized Rb2NCl structure, as listed in the Alexandria database.

Geometry as POSCAR:
```
Rb2NCl
1.0
0.000 3.875 3.875
3.875 0.000 3.875
3.875 3.875 0.000
Rb N Cl
2 1 1
Direct
0.250 0.250 0.250 Rb
0.750 0.750 0.750 Rb
0.000 0.000 0.000 N
0.500 0.500 0.500 Cl
```

As for the formation energy without anion corrections: -129 meV per atom. As for the raw total energy: -12.62 eV/f.u. The calculation puts the magnetic moment at 2.0 μB/f.u. For the energy above the most stable polymorph in this dataset, the calculation gives 50 meV per atom.

***

# 4
First-principles (GGA-PBE) data for a geometry-optimized Tl3Hg2Pd8 structure, as listed in the Alexandria database.

Geometry as POSCAR:
```
Tl3Hg2Pd8
1.0
2.713 1.566 10.141
-2.713 1.566 10.141
0.000 -3.132 10.141
Tl Hg Pd
3 2 8
Direct
0.000 0.000 0.000 Tl
0.183 0.183 0.183 Tl
0.817 0.817 0.817 Tl
0.361 0.361 0.361 Hg
0.639 0.639 0.639 Hg
0.228 0.730 0.730 Pd
0.270 0.270 0.772 Pd
0.270 0.772 0.270 Pd
0.271 0.271 0.271 Pd
0.729 0.729 0.729 Pd
0.730 0.228 0.730 Pd
0.730 0.730 0.228 Pd
0.772 0.270 0.270 Pd
```

As for the raw total energy: -49.11 eV/f.u. The calculation puts the magnetic moment at 0.0 μB/f.u. As for the formation energy: 0.0103 eV per atom. For the energy above the most stable polymorph in this dataset, the calculation gives 26 meV per atom.

***

# 5
First-principles (GGA-PBE) data for a geometry-optimized LiPa3Se6 structure, as listed in the Alexandria database.

Geometry as POSCAR:
```
LiPa3Se6
1.0
5.570 -6.759 0.000
5.570 6.759 0.000
0.000 0.000 6.913
Li Pa Se
2 6 12
Direct
0.197 0.803 0.500 Li
0.803 0.197 0.000 Li
0.073 0.273 0.530 Pa
0.273 0.073 0.030 Pa
0.400 0.600 0.135 Pa
0.600 0.400 0.635 Pa
0.727 0.927 0.530 Pa
0.927 0.727 0.030 Pa
0.027 0.973 0.317 Se
0.094 0.555 0.303 Se
0.233 0.767 0.866 Se
0.298 0.373 0.834 Se
0.373 0.298 0.334 Se
0.445 0.906 0.303 Se
0.555 0.094 0.803 Se
0.627 0.702 0.834 Se
0.702 0.627 0.334 Se
0.767 0.233 0.366 Se
0.906 0.445 0.803 Se
0.973 0.027 0.817 Se
```

As for the formation energy without anion corrections: -1323 meV per atom. As for the raw total energy: -64.54 eV/f.u. The calculation puts the magnetic moment at 3.6 μB/f.u.

***

# 6
First-principles (GGA-PBE) data for a geometry-optimized BaSrW2 structure, as listed in the Alexandria database.

Geometry as POSCAR:
```
BaSrW2
1.0
4.205 -1.787 0.000
4.205 1.787 0.000
-0.845 0.000 9.136
Ba Sr W
1 1 2
Direct
0.000 0.000 0.000 Ba
0.210 0.210 0.561 Sr
0.463 0.463 0.321 W
0.754 0.754 0.257 W
```

As for the raw total energy: -25.92 eV/f.u. The calculation puts the magnetic moment at 0.0 μB/f.u. As for the formation energy: 0.8984 eV per atom. For the energy above the most stable polymorph in this dataset, the calculation gives 172 meV per atom.